No. 1
! Al2Cl (GGA-PBE, relaxed); values from VASP
! Density of states at the Fermi level ... 1.11 states/eV/f.u.
! Space group ... Cmcm, No. 63
! Raw formation energy ... -0.4 eV per formula unit
! Excess energy over the best structure of this formula in the dataset ... 0.320 eV/atom
! Raw total energy ... -0.11906 hartree per atom
&SYSTEM
  ibrav = 0, nat = 6, ntyp = 2
/
ATOMIC_SPECIES
Al 26.98 Al.upf
Cl 35.45 Cl.upf
CELL_PARAMETERS angstrom
2.303 -8.557 0.000
2.303 8.557 0.000
0.000 0.000 2.979
ATOMIC_POSITIONS crystal
Al 0.071 0.929 0.750
Al 0.215 0.785 0.250
Al 0.785 0.215 0.750
Al 0.929 0.071 0.250
Cl 0.411 0.589 0.750
Cl 0.589 0.411 0.250

***

No. 2
! NaCr2Pt2 (GGA-PBE, relaxed); values from VASP
! Density of states at the Fermi level ... 5.69 states/eV/f.u.
! Space group ... P4/mbm, No. 127
! E_form ... -0.022 eV/atom
! Excess energy over the best structure of this formula in the dataset ... 0.000 eV/atom
! Raw total energy ... -0.24077 hartree per atom
&SYSTEM
  ibrav = 0, nat = 10, ntyp = 3
/
ATOMIC_SPECIES
Na 22.99 Na.upf
Cr 52.00 Cr.upf
Pt 195.08 Pt.upf
CELL_PARAMETERS angstrom
7.624 0.000 0.000
0.000 7.624 0.000
0.000 0.000 2.659
ATOMIC_POSITIONS crystal
Na 0.000 0.000 0.000
Na 0.500 0.500 0.000
Cr 0.105 0.395 0.000
Cr 0.395 0.895 0.000
Cr 0.605 0.105 0.000
Cr 0.895 0.605 0.000
Pt 0.182 0.682 0.500
Pt 0.318 0.182 0.500
Pt 0.682 0.818 0.500
Pt 0.818 0.318 0.500

***

No. 3
! Cd2PRh (GGA-PBE, relaxed); values from VASP
! Density of states at the Fermi level ... 2.36 states/eV/f.u.
! Space group ... P2/m, No. 10
! E_form ... 0.106 eV/atom
! Raw total energy ... -0.13017 hartree per atom
&SYSTEM
  ibrav = 0, nat = 4, ntyp = 3
/
ATOMIC_SPECIES
Cd 112.41 Cd.upf
P 30.97 P.upf
Rh 102.91 Rh.upf
CELL_PARAMETERS angstrom
3.710 0.000 0.000
0.000 3.542 0.000
-0.007 0.000 5.381
ATOMIC_POSITIONS crystal
Cd 0.001 0.000 0.248
Cd 0.999 0.000 0.752
P 0.500 0.500 0.500
Rh 0.500 0.500 0.000

***

No. 4
! HoEr2Th4 (GGA-PBE, relaxed); values from VASP
! Density of states at the Fermi level ... 11.20 states/eV/f.u.
! Space group ... P4_2/mnm, No. 136
! E_form ... 0.331 eV/atom
! Excess energy over the best structure of this formula in the dataset ... 0.000 eV/atom
! Raw total energy ... -0.21558 hartree per atom
&SYSTEM
  ibrav = 0, nat = 14, ntyp = 3
/
ATOMIC_SPECIES
Ho 164.93 Ho.upf
Er 167.26 Er.upf
Th 232.04 Th.upf
CELL_PARAMETERS angstrom
9.283 0.000 0.000
0.000 9.283 0.000
0.000 0.000 5.509
ATOMIC_POSITIONS crystal
Ho 0.000 0.000 0.000
Ho 0.500 0.500 0.500
Er 0.180 0.180 0.500
Er 0.320 0.680 0.000
Er 0.680 0.320 0.000
Er 0.820 0.820 0.500
Th 0.123 0.375 0.000
Th 0.125 0.623 0.500
Th 0.375 0.123 0.000
Th 0.377 0.875 0.500
Th 0.623 0.125 0.500
Th 0.625 0.877 0.000
Th 0.875 0.377 0.500
Th 0.877 0.625 0.000

***

No. 5
! Ac3PuP2N8 (GGA-PBE, relaxed); values from VASP
! Density of states at the Fermi level ... 5.49 states/eV/f.u.
! Space group ... P-3m1, No. 164
! Raw formation energy ... -15.4 eV per formula unit
! Raw total energy ... -0.31351 hartree per atom
&SYSTEM
  ibrav = 0, nat = 14, ntyp = 4
/
ATOMIC_SPECIES
Ac 227.00 Ac.upf
Pu 244.00 Pu.upf
P 30.97 P.upf
N 14.01 N.upf
CELL_PARAMETERS angstrom
5.736 0.000 0.000
-2.868 4.968 0.000
0.000 0.000 7.286
ATOMIC_POSITIONS crystal
Ac 0.000 0.000 0.000
Ac 0.333 0.667 0.678
Ac 0.667 0.333 0.322
Pu 0.000 0.000 0.500
P 0.333 0.667 0.221
P 0.667 0.333 0.779
N 0.178 0.356 0.311
N 0.178 0.822 0.311
N 0.333 0.667 0.002
N 0.356 0.178 0.689
N 0.644 0.822 0.311
N 0.667 0.333 0.998
N 0.822 0.178 0.689
N 0.822 0.644 0.689

***

No. 6
! LiHg2As2 (GGA-PBE, relaxed); values from VASP
! Density of states at the Fermi level ... 2.13 states/eV/f.u.
! Space group ... I4/mmm, No. 139
! E_form ... 0.049 eV/atom
! Excess energy over the best structure of this formula in the dataset ... 0.000 eV/atom
! Raw total energy ... -0.08503 hartree per atom
&SYSTEM
  ibrav = 0, nat = 5, ntyp = 3
/
ATOMIC_SPECIES
Li 6.94 Li.upf
Hg 200.59 Hg.upf
As 74.92 As.upf
CELL_PARAMETERS angstrom
-2.085 2.085 7.120
2.085 -2.085 7.120
2.085 2.085 -7.120
ATOMIC_POSITIONS crystal
Li 0.000 0.000 0.000
Hg 0.250 0.750 0.500
Hg 0.750 0.250 0.500
As 0.419 0.419 0.000
As 0.581 0.581 0.000

***

- Which value of raw total energy does entry 4 give?
  -0.21558 hartree per atom